Below is a relaxed structure of CsNiO2F, with properties calculated at the PBE with a Hubbard U level.

Spin magnetization (μB per atom): 0.669
VASP energy (eV/cell): -19.4
SG: P4/mmm
Theoretical density (g/cm³): 4.9
D(E_F) (states/eV/f.u.): 4.17

Unit cell a=3.809 b=3.809 c=5.686 alpha=90.00 beta=90.00 gamma=90.00
Atoms (fractional coordinates):
F (0.000, 0.000, 0.500)
Cs (0.500, 0.500, 0.500)
O (0.500, 0.000, 0.000)
O (0.000, 0.500, 0.000)
Ni (0.000, 0.000, 0.000)